## AcLa3Co2 (PBE)

Data for AcLa3Co2 after structural relaxation.

POSCAR file:
```
AcLa3Co2
1.0
-2.1976 -0.3578 -3.5080
-8.1657 -1.9012 2.8487
-4.2667 9.7833 -0.7854
La Ac Co
6 2 4
direct
0.9376 0.9304 0.1944 La
0.8105 0.8270 0.5520 La
0.1895 0.1730 0.4480 La
0.3126 0.3195 0.0552 La
0.0624 0.0696 0.8056 La
0.6874 0.6805 0.9448 La
0.5653 0.5642 0.3051 Ac
0.4347 0.4358 0.6949 Ac
0.3730 0.8813 0.3727 Co
0.6270 0.1187 0.6273 Co
0.1264 0.6315 0.1157 Co
0.8736 0.3685 0.8843 Co
```

- DOS(E_F): 12.3 states/eV per cell
- Electronic total energy: -5.6087 eV/atom
- Crystal system: monoclinic